Entry w
The following is a DFT calculation (PBE-GGA) of an optimized crystal structure of ZrSiI2O.

Cell lengths 5.8928, 5.8928, 4.0009 Å; angles 90.00, 90.00, 90.00 degrees
Last column: nearest neighbours and their distance in Å.
Element x y z (fractional)
Zr  0.0000  0.0000  0.0000  2 O 2.00
Si  0.5000  0.5000  0.5000  8 I 3.56
I  0.0000  0.5000  0.0000  2 Zr 2.95
I  0.5000  0.0000  0.0000  2 Zr 2.95
O  0.0000  0.0000  0.5000  2 Zr 2.00

Computed properties:
- N(E_F) (states/eV/atom) = 0.468
- symmetry = P4/mmm



Entry x
The following is a DFT calculation (PBE-GGA) of an optimized crystal structure of ZrSiI2O.

Cell lengths 5.7017, 5.7017, 3.5139 Å; angles 90.00, 90.00, 90.00 degrees
Last column: nearest neighbours and their distance in Å.
Element x y z (fractional)
Zr  0.0000  0.0000  0.0000  8 I 3.35, 2 Zr 3.51
Si  0.5000  0.5000  0.5000  2 O 1.76
I  0.0000  0.5000  0.5000  2 Si 2.85
I  0.5000  0.0000  0.5000  2 Si 2.85
O  0.5000  0.5000  0.0000  2 Si 1.76

Computed properties:
- N(E_F) (states/eV/atom) = 0.534
- symmetry = P4/mmm



Most stable structure: entry w



Entry w
The following is a DFT calculation (PBE-GGA) of an optimized crystal structure of Sm2I2O.

Cell lengths 4.3411, 4.3411, 14.7073 Å; angles 90.00, 90.00, 90.00 degrees
Last column: nearest neighbours and their distance in Å.
Element x y z (fractional)
Sm  0.0000  0.0000  0.1431  1 O 2.10
Sm  0.0000  0.0000  0.8569  1 O 2.10
I  0.0000  0.0000  0.3406  1 Sm 2.90
I  0.0000  0.0000  0.6594  1 Sm 2.90
O  0.0000  0.0000  0.0000  2 Sm 2.10

Computed properties:
- N(E_F) (states/eV/atom) = 0.560
- symmetry = P4/mmm



Entry x
The following is a DFT calculation (PBE-GGA) of an optimized crystal structure of Sm2I2O.

Cell lengths 11.7212, 11.7212, 7.1815 Å; angles 95.31, 95.31, 20.01 degrees
Last column: nearest neighbours and their distance in Å.
Element x y z (fractional)
Sm  0.1859  0.1859  0.3776  1 O 2.31
Sm  0.3120  0.3120  0.0815  3 O 2.31-2.36
Sm  0.6880  0.6880  0.9185  3 O 2.31-2.36
Sm  0.8141  0.8141  0.6224  1 O 2.31
I  0.0975  0.0975  0.6949  3 Sm 3.20-3.24
I  0.4115  0.4115  0.7988  3 Sm 3.21
I  0.5885  0.5885  0.2012  3 Sm 3.21
I  0.9025  0.9025  0.3051  3 Sm 3.20-3.24
O  0.2118  0.2118  0.0747  4 Sm 2.31-2.36
O  0.7882  0.7882  0.9253  4 Sm 2.31-2.36

Computed properties:
- N(E_F) (states/eV/atom) = 0.357
- symmetry = C2/m



Most stable structure: entry x



Entry w
The following is a DFT calculation (PBE-GGA) of an optimized crystal structure of SnI3O.

Cell lengths 5.2012, 5.2012, 5.2012 Å; angles 90.00, 90.00, 90.00 degrees
Last column: nearest neighbours and their distance in Å.
Element x y z (fractional)
Sn  0.0000  0.0000  0.0000  12 I 3.68
I  0.0000  0.5000  0.5000  2 O 2.60
I  0.5000  0.0000  0.5000  2 O 2.60
I  0.5000  0.5000  0.0000  2 O 2.60
O  0.5000  0.5000  0.5000  6 I 2.60

Computed properties:
- N(E_F) (states/eV/atom) = 0.616
- symmetry = Pm-3m



Entry x
The following is a DFT calculation (PBE-GGA) of an optimized crystal structure of SnI3O.

Cell lengths 5.9381, 5.9381, 5.9381 Å; angles 90.00, 90.00, 90.00 degrees
Last column: nearest neighbours and their distance in Å.
Element x y z (fractional)
Sn  0.0000  0.0000  0.0000  6 I 2.97
I  0.0000  0.0000  0.5000  2 Sn 2.97
I  0.0000  0.5000  0.0000  2 Sn 2.97
I  0.5000  0.0000  0.0000  2 Sn 2.97
O  0.5000  0.5000  0.5000  12 I 4.20

Computed properties:
- N(E_F) (states/eV/atom) = 5.157
- symmetry = Pm-3m



Most stable structure: entry w



Entry w
The following is a DFT calculation (PBE-GGA) of an optimized crystal structure of SrSnI2O.

Cell lengths 6.3741, 6.3741, 4.2008 Å; angles 90.00, 90.00, 90.00 degrees
Last column: nearest neighbours and their distance in Å.
Element x y z (fractional)
Sr  0.0000  0.0000  0.0000  8 I 3.82, 2 Sr 4.20
Sn  0.5000  0.5000  0.5000  2 O 2.10
I  0.0000  0.5000  0.5000  2 Sn 3.19
I  0.5000  0.0000  0.5000  2 Sn 3.19
O  0.5000  0.5000  0.0000  2 Sn 2.10

Computed properties:
- N(E_F) (states/eV/atom) = 0.335
- symmetry = P4/mmm



Entry x
The following is a DFT calculation (PBE-GGA) of an optimized crystal structure of SrSnI2O.

Cell lengths 6.3971, 6.3971, 4.3518 Å; angles 90.00, 90.00, 90.00 degrees
Last column: nearest neighbours and their distance in Å.
Element x y z (fractional)
Sr  0.0000  0.0000  0.0000  2 O 2.18
Sn  0.5000  0.5000  0.5000  8 I 3.87
I  0.0000  0.5000  0.0000  2 Sr 3.20
I  0.5000  0.0000  0.0000  2 Sr 3.20
O  0.0000  0.0000  0.5000  2 Sr 2.18

Computed properties:
- N(E_F) (states/eV/atom) = 0.294
- symmetry = P4/mmm



Most stable structure: entry w



Entry w
The following is a DFT calculation (PBE-GGA) of an optimized crystal structure of SrSnIO2.

Cell lengths 4.4211, 4.4211, 5.9425 Å; angles 90.00, 90.00, 90.00 degrees
Last column: nearest neighbours and their distance in Å.
Element x y z (fractional)
Sr  0.0000  0.0000  0.0000  4 I 3.13
Sn  0.5000  0.5000  0.5000  4 O 2.21
I  0.5000  0.5000  0.0000  2 Sn 2.97, 4 Sr 3.13
O  0.0000  0.5000  0.5000  2 Sn 2.21
O  0.5000  0.0000  0.5000  2 Sn 2.21

Computed properties:
- N(E_F) (states/eV/atom) = 0.252
- symmetry = P4/mmm



Entry x
The following is a DFT calculation (PBE-GGA) of an optimized crystal structure of SrSnIO2.

Cell lengths 7.4942, 7.4942, 5.7868 Å; angles 90.00, 90.00, 133.78 degrees
Last column: nearest neighbours and their distance in Å.
Element x y z (fractional)
Sr  0.0992  0.9008  0.7500  4 O 2.56
Sr  0.9008  0.0992  0.2500  4 O 2.56
Sn  0.4415  0.5585  0.7500  4 O 2.13
Sn  0.5585  0.4415  0.2500  4 O 2.13
I  0.2510  0.7490  0.2500  4 Sr 3.57-3.59, 4 Sn 3.91-3.96, 4 O 3.96
I  0.7490  0.2510  0.7500  4 Sr 3.57-3.59, 4 Sn 3.91-3.96, 4 O 3.96
O  0.2732  0.2732  0.0000  2 Sn 2.13
O  0.2732  0.2732  0.5000  2 Sn 2.13
O  0.7268  0.7268  0.0000  2 Sn 2.13
O  0.7268  0.7268  0.5000  2 Sn 2.13

Computed properties:
- N(E_F) (states/eV/atom) = 0.237
- symmetry = Cmcm



Entry y
The following is a DFT calculation (PBE-GGA) of an optimized crystal structure of SrSnIO2.

Cell lengths 4.7252, 4.7252, 6.3108 Å; angles 90.00, 90.00, 90.00 degrees
Last column: nearest neighbours and their distance in Å.
Element x y z (fractional)
Sr  0.0000  0.0000  0.0000  4 O 2.36
Sn  0.5000  0.5000  0.5000  4 I 3.34
I  0.0000  0.0000  0.5000  2 Sr 3.16, 4 Sn 3.34
O  0.0000  0.5000  0.0000  2 Sr 2.36
O  0.5000  0.0000  0.0000  2 Sr 2.36

Computed properties:
- N(E_F) (states/eV/atom) = 0.590
- symmetry = P4/mmm



Most stable structure: entry x



Entry w
The following is a DFT calculation (PBE-GGA) of an optimized crystal structure of SnTeI2O.

Cell lengths 5.2913, 5.2913, 4.7701 Å; angles 90.00, 90.00, 90.00 degrees
Last column: nearest neighbours and their distance in Å.
Element x y z (fractional)
Sn  0.0000  0.0000  0.0000  8 I 3.56, 4 Te 3.74
Te  0.5000  0.5000  0.0000  2 O 2.39
I  0.0000  0.5000  0.5000  2 O 2.65
I  0.5000  0.0000  0.5000  2 O 2.65
O  0.5000  0.5000  0.5000  2 Te 2.39, 4 I 2.65

Computed properties:
- N(E_F) (states/eV/atom) = 0.448
- symmetry = P4/mmm



Entry x
The following is a DFT calculation (PBE-GGA) of an optimized crystal structure of SnTeI2O.

Cell lengths 5.8858, 5.8858, 6.2726 Å; angles 90.00, 90.00, 90.00 degrees
Last column: nearest neighbours and their distance in Å.
Element x y z (fractional)
Sn  0.0000  0.0000  0.0000  2 Te 3.14
Te  0.0000  0.0000  0.5000  4 I 2.94, 2 Sn 3.14
I  0.0000  0.5000  0.5000  2 Te 2.94
I  0.5000  0.0000  0.5000  2 Te 2.94
O  0.5000  0.5000  0.0000  4 Sn 4.16, 8 I 4.30

Computed properties:
- N(E_F) (states/eV/atom) = 1.909
- symmetry = P4/mmm



Most stable structure: entry w



Entry w
The following is a DFT calculation (PBE-GGA) of an optimized crystal structure of SnTeI2O.

Cell lengths 5.8939, 5.8939, 5.9601 Å; angles 90.00, 90.00, 90.00 degrees
Last column: nearest neighbours and their distance in Å.
Element x y z (fractional)
Sn  0.0000  0.0000  0.0000  4 I 2.95, 2 Te 2.98
Te  0.0000  0.0000  0.5000  2 Sn 2.98
I  0.0000  0.5000  0.0000  2 Sn 2.95
I  0.5000  0.0000  0.0000  2 Sn 2.95
O  0.5000  0.5000  0.5000  4 Te 4.17, 8 I 4.19

Computed properties:
- N(E_F) (states/eV/atom) = 4.051
- symmetry = P4/mmm



Entry x
The following is a DFT calculation (PBE-GGA) of an optimized crystal structure of SnTeI2O.

Cell lengths 6.2576, 6.2576, 4.0767 Å; angles 90.00, 90.00, 90.00 degrees
Last column: nearest neighbours and their distance in Å.
Element x y z (fractional)
Sn  0.0000  0.0000  0.0000  8 I 3.73, 2 Sn 4.08
Te  0.5000  0.5000  0.5000  2 O 2.04
I  0.0000  0.5000  0.5000  2 Te 3.13
I  0.5000  0.0000  0.5000  2 Te 3.13
O  0.5000  0.5000  0.0000  2 Te 2.04

Computed properties:
- N(E_F) (states/eV/atom) = 0.816
- symmetry = P4/mmm



Most stable structure: entry x



Entry w
The following is a DFT calculation (PBE-GGA) of an optimized crystal structure of TiSnI2O.

Cell lengths 5.8891, 5.8891, 3.7748 Å; angles 90.00, 90.00, 90.00 degrees
Last column: nearest neighbours and their distance in Å.
Element x y z (fractional)
Ti  0.0000  0.0000  0.0000  2 O 1.89
Sn  0.5000  0.5000  0.5000  8 I 3.50, 2 Sn 3.77
I  0.0000  0.5000  0.0000  2 Ti 2.94
I  0.5000  0.0000  0.0000  2 Ti 2.94
O  0.0000  0.0000  0.5000  2 Ti 1.89

Computed properties:
- N(E_F) (states/eV/atom) = 0.669
- symmetry = P4/mmm



Entry x
The following is a DFT calculation (PBE-GGA) of an optimized crystal structure of TiSnI2O.

Cell lengths 6.1399, 6.1399, 4.0314 Å; angles 90.00, 90.00, 90.00 degrees
Last column: nearest neighbours and their distance in Å.
Element x y z (fractional)
Ti  0.0000  0.0000  0.0000  8 I 3.67, 2 Ti 4.03
Sn  0.5000  0.5000  0.5000  2 O 2.02
I  0.0000  0.5000  0.5000  2 Sn 3.07
I  0.5000  0.0000  0.5000  2 Sn 3.07
O  0.5000  0.5000  0.0000  2 Sn 2.02

Computed properties:
- N(E_F) (states/eV/atom) = 0.832
- symmetry = P4/mmm



Most stable structure: entry w